Entry from the Alexandria database: Zr2InCo after structural relaxation (GGA-PBE).

The symmetry is No. 99. The magnetic moment is 0.40 μB/f.u. The calculation puts the volume at 19.38 Å³/atom. Its formation energy is -16 kJ/mol of atoms. The density of states at the Fermi level comes out at 0.734 states/eV/atom.

The structure in extended XYZ format:
```
4
Lattice="3.2133 0.0000 0.0000 0.0000 3.2133 0.0000 0.0000 0.0000 7.5070" Properties=species:S:1:pos:R:3 pbc="T T T"
Zr 0.0000 0.0000 0.0000
Zr 1.6066 1.6066 2.2124
In 1.6066 1.6066 5.2993
Co 0.0000 0.0000 3.6683
```